The following is a PBE calculation of crystalline Co2HgAs2 at its relaxed geometry, from the Alexandria database.

Values from the calculation:
- formation energy from the elements (eV per atom) = 0.148
- offset from the most stable computed form (eV/atom) = 0.098
- SG = P4/mbm (127)
- DOS(E_F) (states/eV/f.u.) = 4.9

abc: 7.159 7.159 3.032
angles: 90.00 90.00 90.00
Element x y z (fractional)
Co 0.131 0.369 0.000
Co 0.369 0.869 0.000
Co 0.631 0.131 0.000
Co 0.869 0.631 0.000
Hg 0.000 0.000 0.000
Hg 0.500 0.500 0.000
As 0.142 0.642 0.500
As 0.358 0.142 0.500
As 0.642 0.858 0.500
As 0.858 0.358 0.500